1.
NiRhAu2 | PBE | optimized geometry

abc: 2.8222 2.8222 7.7677
angles: 90.00 90.00 90.00
Closest atoms and distances in Å follow each position.
Space group P4mm (No. 99)
Symmetry-distinct sites (fractional):
Ni 0.0000 0.0000 0.0000 (multiplicity 1)  4 Rh 2.54, 4 Au 2.73, 4 Ni 2.82
Rh 0.5000 0.5000 0.2030 (multiplicity 1)  4 Ni 2.54, 4 Rh 2.82
Au 0.0000 0.0000 0.4715 (multiplicity 1)  8 Au 2.82-3.01, 4 Rh 2.89
Au 0.5000 0.5000 0.7609 (multiplicity 1)  4 Ni 2.73, 8 Au 2.82-3.01

2.
LaSmHgRu | PBE | optimized geometry

abc: 7.3637 7.3637 7.3637
angles: 90.00 90.00 90.00
Closest atoms and distances in Å follow each position.
Space group F-43m (No. 216)
Symmetry-distinct sites (fractional):
La 0.0000 0.0000 0.0000 (multiplicity 4)  4 Hg 3.19, 4 Ru 3.19
Sm 0.0000 0.0000 0.5000 (multiplicity 4)  4 Ru 3.19, 4 Hg 3.19
Hg 0.2500 0.2500 0.7500 (multiplicity 4)  4 La 3.19, 4 Sm 3.19
Ru 0.2500 0.2500 0.2500 (multiplicity 4)  4 La 3.19, 4 Sm 3.19

3.
ZnRh2Br | PBE | optimized geometry

Output
ΔE_f (raw) = 126 kJ/mol of formula units

abc: 3.1096 4.3911 4.8161
angles: 90.00 91.07 90.00
Closest atoms and distances in Å follow each position.
Space group P2/m (No. 10)
Symmetry-distinct sites (fractional):
Zn 0.0000 0.0000 0.0000 (multiplicity 1)  4 Rh 2.60, 4 Br 2.84-2.89
Rh 0.2567 0.5000 0.2392 (multiplicity 2)  2 Zn 2.60, 2 Br 2.63, 3 Rh 2.78-2.91
Br 0.5000 0.0000 0.5000 (multiplicity 1)  4 Rh 2.63, 4 Zn 2.84-2.89

| no. | Fermi-level density of states (states/eV per cell) | energy above the lowest structure with this stoichiometry (meV per atom) |
| --- | --- | --- |
| 1 | 3.374 | 0 |
| 2 | 13.488 | 91 |
| 3 | 3.358 | 217 |